VASP calculation (PBE) on a geometry-optimized TiAlAs structure.

Crystal system   trigonal
Size of the total moment   0.00 Bohr magnetons per cell
E_form   -0.268 eV/atom
Calculated total energy   -5.6973 eV/atom

```
6
Lattice="2.200 1.270 6.585 -2.200 1.270 6.585 0.000 -2.541 6.585" Properties=species:S:1:pos:R:3 pbc="T T T"
Ti 0.000 0.000 1.482
Ti 0.000 0.000 18.273
Al 0.000 0.000 6.778
Al 0.000 0.000 12.977
As 0.000 0.000 4.221
As 0.000 0.000 15.533
```



VASP calculation (PBE) on a geometry-optimized Ca2Sn4Pt3Au structure.

Crystal system   tetragonal
Size of the total moment   0.00 Bohr magnetons per cell
E_form   -0.682 eV/atom
Calculated total energy   -4.8230 eV/atom

```
10
Lattice="4.611 0.000 0.000 0.000 4.611 0.000 0.000 0.000 10.945" Properties=species:S:1:pos:R:3 pbc="T T T"
Ca 0.000 2.305 2.653
Ca 2.305 0.000 8.292
Sn 0.000 0.000 5.473
Sn 0.000 2.305 9.500
Sn 2.305 0.000 1.445
Sn 2.305 2.305 5.473
Pt 0.000 0.000 0.000
Pt 0.000 2.305 6.883
Pt 2.305 0.000 4.062
Au 2.305 2.305 0.000
```



VASP calculation (PBE) on a geometry-optimized CeTmAlAg structure.

Crystal system   cubic
Size of the total moment   1.02 Bohr magnetons per cell
E_form   -0.224 eV/atom
Calculated total energy   -4.4735 eV/atom

```
4
Lattice="0.000 3.663 3.663 3.663 0.000 3.663 3.663 3.663 0.000" Properties=species:S:1:pos:R:3 pbc="T T T"
Ce 0.000 0.000 0.000
Tm 3.663 3.663 3.663
Al 5.494 5.494 5.494
Ag 1.831 1.831 1.831
```



VASP calculation (PBE) on a geometry-optimized PdRhPb2 structure.

Relative energy among the computed polymorphs   419 meV/atom
Crystal system   tetragonal
Size of the total moment   0.00 Bohr magnetons per cell
E_form   0.310 eV/atom
Calculated total energy   -4.6802 eV/atom

```
8
Lattice="-3.241 3.241 5.499 3.241 -3.241 5.499 3.241 3.241 -5.499" Properties=species:S:1:pos:R:3 pbc="T T T"
Pd 0.000 0.000 0.000
Pd 0.000 3.241 2.750
Rh 3.241 0.000 2.750
Rh 0.000 0.000 5.499
Pb 1.621 -1.564 4.124
Pb 1.677 1.621 1.375
Pb 1.621 4.805 -1.375
Pb 1.564 1.621 6.874
```



VASP calculation (PBE) on a geometry-optimized Rb2Tl6Au3 structure.

Crystal system   hexagonal
Size of the total moment   0.00 Bohr magnetons per cell
E_form   -0.126 eV/atom
Calculated total energy   -2.4868 eV/atom

```
11
Lattice="9.025 0.000 0.000 -4.512 7.815 0.000 0.000 0.000 5.059" Properties=species:S:1:pos:R:3 pbc="T T T"
Rb 0.000 5.210 0.000
Rb 4.512 2.605 0.000
Tl -1.363 2.361 2.529
Tl -3.584 6.207 0.000
Tl 0.928 1.608 0.000
Tl 2.727 0.000 2.529
Tl 3.149 5.454 2.529
Tl 7.168 0.000 0.000
Au -2.825 4.893 2.529
Au 1.687 2.922 2.529
Au 5.650 0.000 2.529
```



VASP calculation (PBE) on a geometry-optimized Cs2YPdC structure.

Crystal system   tetragonal
Size of the total moment   0.00 Bohr magnetons per cell
E_form   0.899 eV/atom
Calculated total energy   -3.6184 eV/atom

```
5
Lattice="6.563 0.000 0.000 0.000 6.563 0.000 0.000 0.000 4.433" Properties=species:S:1:pos:R:3 pbc="T T T"
Cs 0.000 3.281 0.000
Cs 3.281 0.000 0.000
Y 0.000 0.000 2.216
Pd 3.281 3.281 2.216
C 0.000 0.000 0.000
```



VASP calculation (PBE) on a geometry-optimized TaCrN2 structure.

Formation energy from raw total energies   -6.6 kcal/mol of atoms
Relative energy among the computed polymorphs   339 meV/atom
Crystal system   trigonal
Size of the total moment   0.00 Bohr magnetons per cell
Calculated total energy   -9.8190 eV/atom

```
4
Lattice="1.530 0.883 6.009 -1.530 0.883 6.009 0.000 -1.767 6.009" Properties=species:S:1:pos:R:3 pbc="T T T"
Ta 0.000 0.000 0.000
Cr 0.000 0.000 9.013
N 0.000 0.000 7.167
N 0.000 0.000 10.859
```



VASP calculation (PBE) on a geometry-optimized RbTaCu2Te4 structure.

Formation energy from raw total energies   -10.6 kcal/mol of atoms
Crystal system   orthorhombic
Size of the total moment   0.00 Bohr magnetons per cell
Calculated total energy   -4.6555 eV/atom

```
32
Lattice="8.317 0.000 0.000 0.000 20.913 0.000 0.000 0.000 6.038" Properties=species:S:1:pos:R:3 pbc="T T T"
Rb 2.035 1.317 0.000
Rb 2.124 11.774 3.019
Rb 6.193 9.139 0.000
Rb 6.282 19.596 3.019
Ta 2.033 7.379 4.592
Ta 2.125 17.836 1.573
Ta 6.192 3.077 4.592
Ta 6.284 13.534 1.573
Cu 0.038 15.693 1.523
Cu 2.035 7.383 1.574
Cu 2.123 17.840 4.593
Cu 4.120 5.236 4.542
Cu 4.197 15.677 1.523
Cu 6.194 3.073 1.574
Cu 6.282 13.530 4.593
Cu 8.279 5.220 4.542
Te 0.035 3.050 3.068
Te 0.124 13.527 0.046
Te 2.016 9.537 0.063
Te 2.041 5.206 0.111
Te 2.117 15.662 3.130
Te 2.142 19.993 3.082
Te 4.035 3.071 3.065
Te 4.123 13.506 0.049
Te 4.194 7.407 3.068
Te 4.282 17.842 0.046
Te 6.175 0.920 0.063
Te 6.200 5.251 0.111
Te 6.276 15.707 3.130
Te 6.301 11.376 3.082
Te 8.193 7.386 3.065
Te 8.282 17.863 0.049
```



VASP calculation (PBE) on a geometry-optimized PrNd5Dy4 structure.

Relative energy among the computed polymorphs   0 meV/atom
Crystal system   monoclinic
Size of the total moment   0.00 Bohr magnetons per cell
E_form   0.014 eV/atom
Calculated total energy   -4.6885 eV/atom

```
10
Lattice="9.409 -1.818 0.000 9.409 1.818 0.000 -2.870 0.000 9.848" Properties=species:S:1:pos:R:3 pbc="T T T"
Pr 0.000 0.000 0.000
Nd -1.435 0.000 4.924
Nd 2.048 0.000 5.912
Nd 6.939 0.000 1.947
Nd 9.008 0.000 7.902
Nd 13.899 0.000 3.937
Dy 3.479 0.000 0.985
Dy 5.492 0.000 6.906
Dy 10.455 0.000 2.943
Dy 12.469 0.000 8.863
```



VASP calculation (PBE) on a geometry-optimized BeAlOsF2 structure.

Formation energy from raw total energies   -23.2 kcal/mol of atoms
Crystal system   tetragonal
Size of the total moment   1.01 Bohr magnetons per cell
Calculated total energy   -5.4946 eV/atom

```
5
Lattice="3.361 0.000 0.000 0.000 3.361 0.000 0.000 0.000 7.120" Properties=species:S:1:pos:R:3 pbc="T T T"
Be 0.000 0.000 0.000
Al 1.681 1.681 3.560
Os 0.000 0.000 3.560
F 0.000 1.681 0.000
F 1.681 0.000 0.000
```



VASP calculation (PBE) on a geometry-optimized CaAcAg2Te4 structure.

Formation energy from raw total energies   -18.7 kcal/mol of atoms
Crystal system   tetragonal
Size of the total moment   0.00 Bohr magnetons per cell
Calculated total energy   -3.8586 eV/atom

```
8
Lattice="-3.948 3.948 4.254 3.948 -3.948 4.254 3.948 3.948 -4.254" Properties=species:S:1:pos:R:3 pbc="T T T"
Ca 0.000 0.000 0.000
Ac 0.000 0.000 4.254
Ag 3.948 0.000 2.127
Ag 0.000 3.948 2.127
Te 2.187 2.187 -2.303
Te 1.760 1.760 1.951
Te 1.760 -1.760 6.557
Te -1.760 1.760 6.557
```



VASP calculation (PBE) on a geometry-optimized ZnMo2As structure.

Relative energy among the computed polymorphs   129 meV/atom
Crystal system   monoclinic
Size of the total moment   0.00 Bohr magnetons per cell
E_form   0.157 eV/atom
Calculated total energy   -6.7397 eV/atom

```
4
Lattice="4.637 -1.523 0.000 4.637 1.523 0.000 -1.175 0.000 4.333" Properties=species:S:1:pos:R:3 pbc="T T T"
Zn 0.000 0.000 0.000
Mo 4.147 0.000 2.181
Mo 6.733 0.000 0.715
As 1.524 0.000 2.880
```



What is the size of the total moment in the ninth record? 0.00 Bohr magnetons per cell



calculated total energy of number 1 (TiAlAs)? -5.6973 eV/atom